Record 1
## AcSb2PtRh2 (GGA-PBE)

Data for a relaxed structure of AcSb2PtRh2.

a = 5.0851 Å, b = 5.0851 Å, c = 5.7293 Å
α = 90.00°, β = 90.00°, γ = 90.00°
Fractional positions:
Ac1 0.0000 0.0000 0.0000
Sb1 0.0000 0.5000 0.5000
Sb2 0.5000 0.0000 0.5000
Pt1 0.0000 0.0000 0.5000
Rh1 0.5000 0.5000 0.2430
Rh2 0.5000 0.5000 0.7570

Energy   -0.419 Ry per atom
Formation energy from raw total energies   -4.40 kcal/mol of atoms
DOS(E_F)   0.789 states/eV/atom


Record 2
## Ac2Sb4Pt3Rh (GGA-PBE)

Data for a relaxed structure of Ac2Sb4Pt3Rh.

a = 4.7536 Å, b = 4.7536 Å, c = 10.5610 Å
α = 90.00°, β = 90.00°, γ = 90.00°
Fractional positions:
Ac1 0.0000 0.5000 0.2391
Ac2 0.5000 0.0000 0.7609
Sb1 0.0000 0.0000 0.5000
Sb2 0.0000 0.5000 0.8762
Sb3 0.5000 0.0000 0.1238
Sb4 0.5000 0.5000 0.5000
Pt1 0.0000 0.0000 0.0000
Pt2 0.0000 0.5000 0.6245
Pt3 0.5000 0.0000 0.3755
Rh1 0.5000 0.5000 0.0000

Energy   -0.434 Ry per atom
Formation energy from raw total energies   -20.48 kcal/mol of atoms
DOS(E_F)   0.451 states/eV/atom


Record 3
## AcSb2PtRh5 (GGA-PBE)

Data for a relaxed structure of AcSb2PtRh5.

a = 4.0960 Å, b = 4.0960 Å, c = 11.6053 Å
α = 90.00°, β = 90.00°, γ = 90.00°
Fractional positions:
Ac1 0.0000 0.0000 0.0000
Sb1 0.5000 0.5000 0.2230
Sb2 0.5000 0.5000 0.7770
Pt1 0.0000 0.0000 0.5000
Rh1 0.0000 0.5000 0.3585
Rh2 0.0000 0.5000 0.6415
Rh3 0.5000 0.0000 0.3585
Rh4 0.5000 0.0000 0.6415
Rh5 0.5000 0.5000 0.0000

Energy   -0.469 Ry per atom
Formation energy from raw total energies   -5.84 kcal/mol of atoms
DOS(E_F)   0.851 states/eV/atom


Record 4
## Ac6PtRh2Se3 (GGA-PBE)

Data for a relaxed structure of Ac6PtRh2Se3.

a = 7.5087 Å, b = 7.5087 Å, c = 8.1107 Å
α = 98.88°, β = 98.88°, γ = 120.01°
Fractional positions:
Ac1 0.0858 0.4249 0.7746
Ac2 0.2361 0.2361 0.2258
Ac3 0.4249 0.0858 0.7746
Ac4 0.5751 0.9142 0.2254
Ac5 0.7639 0.7639 0.7742
Ac6 0.9142 0.5751 0.2254
Pt1 0.5000 0.5000 0.0000
Rh1 0.1665 0.8335 0.0000
Rh2 0.8335 0.1665 0.0000
Se1 0.0000 0.0000 0.5000
Se2 0.3334 0.6666 0.5000
Se3 0.6666 0.3334 0.5000

Energy   -0.441 Ry per atom
Formation energy from raw total energies   -31.15 kcal/mol of atoms
DOS(E_F)   0.614 states/eV/atom


Record 5
## Ac6Pt2RhSe3 (GGA-PBE)

Data for a relaxed structure of Ac6Pt2RhSe3.

a = 10.2031 Å, b = 10.2031 Å, c = 9.2400 Å
α = 107.74°, β = 107.74°, γ = 24.58°
Fractional positions:
Ac1 0.0039 0.0039 0.2325
Ac2 0.3293 0.3293 0.4286
Ac3 0.3409 0.3409 0.9070
Ac4 0.6591 0.6591 0.0930
Ac5 0.6707 0.6707 0.5714
Ac6 0.9961 0.9961 0.7675
Pt1 0.1671 0.1671 0.3342
Pt2 0.8329 0.8329 0.6658
Rh1 0.5000 0.5000 0.0000
Se1 0.1670 0.1670 0.8334
Se2 0.5000 0.5000 0.5000
Se3 0.8330 0.8330 0.1666

Energy   -0.440 Ry per atom
Formation energy from raw total energies   -33.13 kcal/mol of atoms
DOS(E_F)   0.628 states/eV/atom


Record 6
## Ac8PtRh3Se4 (GGA-PBE)

Data for a relaxed structure of Ac8PtRh3Se4.

a = 9.1892 Å, b = 9.1892 Å, c = 9.1892 Å
α = 56.23°, β = 56.23°, γ = 56.23°
Fractional positions:
Ac1 0.2377 0.7440 0.7440
Ac2 0.2417 0.2417 0.2417
Ac3 0.2560 0.2560 0.7623
Ac4 0.2560 0.7623 0.2560
Ac5 0.7440 0.2377 0.7440
Ac6 0.7440 0.7440 0.2377
Ac7 0.7583 0.7583 0.7583
Ac8 0.7623 0.2560 0.2560
Pt1 0.5000 0.5000 0.5000
Rh1 0.0000 0.0000 0.5000
Rh2 0.0000 0.5000 0.0000
Rh3 0.5000 0.0000 0.0000
Se1 0.0000 0.0000 0.0000
Se2 0.0000 0.5000 0.5000
Se3 0.5000 0.0000 0.5000
Se4 0.5000 0.5000 0.0000

Energy   -0.442 Ry per atom
Formation energy from raw total energies   -30.58 kcal/mol of atoms
DOS(E_F)   0.651 states/eV/atom


Record 7
## Ac2SiPt6Rh (GGA-PBE)

Data for a relaxed structure of Ac2SiPt6Rh.

a = 6.5526 Å, b = 6.5526 Å, c = 8.5471 Å
α = 126.27°, β = 126.27°, γ = 49.69°
Fractional positions:
Ac1 0.2323 0.2323 0.1901
Ac2 0.7677 0.7677 0.8099
Si1 0.0000 0.0000 0.5000
Pt1 0.2421 0.7399 0.7268
Pt2 0.2467 0.2467 0.6096
Pt3 0.2601 0.7579 0.2732
Pt4 0.7399 0.2421 0.7268
Pt5 0.7533 0.7533 0.3904
Pt6 0.7579 0.2601 0.2732
Rh1 0.5000 0.5000 0.0000

Energy   -0.483 Ry per atom
Formation energy from raw total energies   -19.43 kcal/mol of atoms
DOS(E_F)   0.473 states/eV/atom


Record 8
## Ac2Si3PtRh12 (GGA-PBE)

Data for a relaxed structure of Ac2Si3PtRh12.

a = 7.6868 Å, b = 7.6868 Å, c = 7.6868 Å
α = 63.42°, β = 63.42°, γ = 63.42°
Fractional positions:
Ac1 0.1109 0.1109 0.1109
Ac2 0.8891 0.8891 0.8891
Si1 0.0000 0.5000 0.5000
Si2 0.5000 0.0000 0.5000
Si3 0.5000 0.5000 0.0000
Pt1 0.5000 0.5000 0.5000
Rh1 0.1157 0.6322 0.6322
Rh2 0.1440 0.1440 0.6049
Rh3 0.1440 0.6049 0.1440
Rh4 0.3678 0.3678 0.8843
Rh5 0.3678 0.8843 0.3678
Rh6 0.3951 0.8560 0.8560
Rh7 0.6049 0.1440 0.1440
Rh8 0.6322 0.1157 0.6322
Rh9 0.6322 0.6322 0.1157
Rh10 0.8560 0.3951 0.8560
Rh11 0.8560 0.8560 0.3951
Rh12 0.8843 0.3678 0.3678

Energy   -0.487 Ry per atom
Formation energy from raw total energies   -0.79 kcal/mol of atoms
DOS(E_F)   0.986 states/eV/atom


Record 9
## Ac2Si3Pt12Rh (GGA-PBE)

Data for a relaxed structure of Ac2Si3Pt12Rh.

a = 7.9152 Å, b = 7.9152 Å, c = 7.9152 Å
α = 62.82°, β = 62.82°, γ = 62.82°
Fractional positions:
Ac1 0.1168 0.1168 0.1168
Ac2 0.8832 0.8832 0.8832
Si1 0.0000 0.5000 0.5000
Si2 0.5000 0.0000 0.5000
Si3 0.5000 0.5000 0.0000
Pt1 0.1236 0.6219 0.6219
Pt2 0.1483 0.1483 0.6005
Pt3 0.1483 0.6005 0.1483
Pt4 0.3781 0.3781 0.8764
Pt5 0.3781 0.8764 0.3781
Pt6 0.3995 0.8517 0.8517
Pt7 0.6005 0.1483 0.1483
Pt8 0.6219 0.1236 0.6219
Pt9 0.6219 0.6219 0.1236
Pt10 0.8517 0.3995 0.8517
Pt11 0.8517 0.8517 0.3995
Pt12 0.8764 0.3781 0.3781
Rh1 0.5000 0.5000 0.5000

Energy   -0.458 Ry per atom
Formation energy from raw total energies   -9.89 kcal/mol of atoms
DOS(E_F)   0.473 states/eV/atom


Record 10
## AcSi2PtRh2 (GGA-PBE)

Data for a relaxed structure of AcSi2PtRh2.

a = 4.5658 Å, b = 4.5658 Å, c = 5.8376 Å
α = 90.00°, β = 90.00°, γ = 90.00°
Fractional positions:
Ac1 0.0000 0.0000 0.0000
Si1 0.0000 0.5000 0.5000
Si2 0.5000 0.0000 0.5000
Pt1 0.0000 0.0000 0.5000
Rh1 0.5000 0.5000 0.2619
Rh2 0.5000 0.5000 0.7381

Energy   -0.469 Ry per atom
Formation energy from raw total energies   -9.80 kcal/mol of atoms
DOS(E_F)   0.570 states/eV/atom


Record 11
## Ac2Si4PtRh3 (GGA-PBE)

Data for a relaxed structure of Ac2Si4PtRh3.

a = 4.2828 Å, b = 4.2828 Å, c = 10.2438 Å
α = 90.00°, β = 90.00°, γ = 90.00°
Fractional positions:
Ac1 0.0000 0.5000 0.2413
Ac2 0.5000 0.0000 0.7587
Si1 0.0000 0.0000 0.0000
Si2 0.0000 0.5000 0.6282
Si3 0.5000 0.0000 0.3718
Si4 0.5000 0.5000 0.0000
Pt1 0.0000 0.0000 0.5000
Rh1 0.0000 0.5000 0.8771
Rh2 0.5000 0.0000 0.1229
Rh3 0.5000 0.5000 0.5000

Energy   -0.496 Ry per atom
Formation energy from raw total energies   -21.91 kcal/mol of atoms
DOS(E_F)   0.879 states/eV/atom


Record 12
## AcSiPtRh (GGA-PBE)

Data for a relaxed structure of AcSiPtRh.

a = 6.1605 Å, b = 6.1605 Å, c = 6.1605 Å
α = 39.89°, β = 39.89°, γ = 39.89°
Fractional positions:
Ac1 0.0000 0.0000 0.0000
Si1 0.8095 0.8095 0.8095
Pt1 0.1962 0.1962 0.1962
Rh1 0.4541 0.4541 0.4541

Energy   -0.481 Ry per atom
Formation energy from raw total energies   -18.83 kcal/mol of atoms
DOS(E_F)   0.694 states/eV/atom


Record 13
## AcSi2Pt4Rh (GGA-PBE)

Data for a relaxed structure of AcSi2Pt4Rh.

a = 3.9691 Å, b = 3.9691 Å, c = 9.7626 Å
α = 90.00°, β = 90.00°, γ = 90.00°
Fractional positions:
Ac1 0.0000 0.0000 0.0000
Si1 0.5000 0.5000 0.3842
Si2 0.5000 0.5000 0.6158
Pt1 0.0000 0.5000 0.2522
Pt2 0.0000 0.5000 0.7478
Pt3 0.5000 0.0000 0.2522
Pt4 0.5000 0.0000 0.7478
Rh1 0.0000 0.0000 0.5000

Energy   -0.469 Ry per atom
Formation energy from raw total energies   -13.15 kcal/mol of atoms
DOS(E_F)   0.208 states/eV/atom


Record 14
## Ac2Si3Pt4Rh (GGA-PBE)

Data for a relaxed structure of Ac2Si3Pt4Rh.

a = 4.3607 Å, b = 4.3607 Å, c = 10.3331 Å
α = 90.00°, β = 90.00°, γ = 90.00°
Fractional positions:
Ac1 0.0000 0.5000 0.2432
Ac2 0.5000 0.0000 0.7568
Si1 0.0000 0.0000 0.0000
Si2 0.0000 0.5000 0.6200
Si3 0.5000 0.0000 0.3800
Pt1 0.0000 0.0000 0.5000
Pt2 0.0000 0.5000 0.8537
Pt3 0.5000 0.0000 0.1463
Pt4 0.5000 0.5000 0.5000
Rh1 0.5000 0.5000 0.0000

Energy   -0.478 Ry per atom
Formation energy from raw total energies   -20.98 kcal/mol of atoms
DOS(E_F)   0.758 states/eV/atom


Record 15
## Ac2Sm2Pt2Rh (GGA-PBE)

Data for a relaxed structure of Ac2Sm2Pt2Rh.

a = 7.4310 Å, b = 7.4310 Å, c = 8.1670 Å
α = 118.04°, β = 118.04°, γ = 31.96°
Fractional positions:
Ac1 0.0443 0.0443 0.2749
Ac2 0.9557 0.9557 0.7251
Sm1 0.2888 0.2888 0.2051
Sm2 0.7112 0.7112 0.7949
Pt1 0.3785 0.3785 0.9474
Pt2 0.6215 0.6215 0.0526
Rh1 0.5000 0.5000 0.5000

Energy of formation   -856 meV per atom
Energy   -0.452 Ry per atom
DOS(E_F)   0.633 states/eV/atom


Record 16
## Ac2Sn4Pt3Rh (GGA-PBE)

Data for a relaxed structure of Ac2Sn4Pt3Rh.

a = 4.6891 Å, b = 4.6891 Å, c = 10.7764 Å
α = 90.00°, β = 90.00°, γ = 90.00°
Fractional positions:
Ac1 0.0000 0.5000 0.2433
Ac2 0.5000 0.0000 0.7567
Sn1 0.0000 0.0000 0.5000
Sn2 0.0000 0.5000 0.8783
Sn3 0.5000 0.0000 0.1217
Sn4 0.5000 0.5000 0.5000
Pt1 0.0000 0.0000 0.0000
Pt2 0.0000 0.5000 0.6312
Pt3 0.5000 0.0000 0.3688
Rh1 0.5000 0.5000 0.0000

Energy of formation   -872 meV per atom
Energy   -0.429 Ry per atom
DOS(E_F)   0.578 states/eV/atom


Record 17
## Ac2Sn3PtRh4 (GGA-PBE)

Data for a relaxed structure of Ac2Sn3PtRh4.

a = 4.4770 Å, b = 4.4770 Å, c = 11.1296 Å
α = 90.00°, β = 90.00°, γ = 90.00°
Fractional positions:
Ac1 0.0000 0.5000 0.2411
Ac2 0.5000 0.0000 0.7589
Sn1 0.0000 0.0000 0.0000
Sn2 0.0000 0.5000 0.6257
Sn3 0.5000 0.0000 0.3743
Pt1 0.5000 0.5000 0.0000
Rh1 0.0000 0.0000 0.5000
Rh2 0.0000 0.5000 0.8621
Rh3 0.5000 0.0000 0.1379
Rh4 0.5000 0.5000 0.5000

Energy of formation   -687 meV per atom
Energy   -0.460 Ry per atom
DOS(E_F)   0.723 states/eV/atom


Record 18
## AcSnPtRh (GGA-PBE)

Data for a relaxed structure of AcSnPtRh.

a = 5.8323 Å, b = 5.8323 Å, c = 5.8323 Å
α = 46.35°, β = 46.35°, γ = 46.35°
Fractional positions:
Ac1 0.0000 0.0000 0.0000
Sn1 0.4944 0.4944 0.4944
Pt1 0.2073 0.2073 0.2073
Rh1 0.7944 0.7944 0.7944

Energy of formation   -813 meV per atom
Energy   -0.455 Ry per atom
DOS(E_F)   0.370 states/eV/atom


Record 19
## Ac2Sn3Pt4Rh (GGA-PBE)

Data for a relaxed structure of Ac2Sn3Pt4Rh.

a = 4.4927 Å, b = 4.4927 Å, c = 11.3887 Å
α = 90.00°, β = 90.00°, γ = 90.00°
Fractional positions:
Ac1 0.0000 0.5000 0.2367
Ac2 0.5000 0.0000 0.7633
Sn1 0.0000 0.0000 0.0000
Sn2 0.0000 0.5000 0.6274
Sn3 0.5000 0.0000 0.3726
Pt1 0.0000 0.0000 0.5000
Pt2 0.0000 0.5000 0.8596
Pt3 0.5000 0.0000 0.1404
Pt4 0.5000 0.5000 0.5000
Rh1 0.5000 0.5000 0.0000

Energy of formation   -774 meV per atom
Energy   -0.437 Ry per atom
DOS(E_F)   0.807 states/eV/atom


Record 20
## Ac2Sn4PtRh3 (GGA-PBE)

Data for a relaxed structure of Ac2Sn4PtRh3.

a = 4.6769 Å, b = 4.6769 Å, c = 10.6456 Å
α = 90.00°, β = 90.00°, γ = 90.00°
Fractional positions:
Ac1 0.0000 0.5000 0.2462
Ac2 0.5000 0.0000 0.7538
Sn1 0.0000 0.0000 0.5000
Sn2 0.0000 0.5000 0.8742
Sn3 0.5000 0.0000 0.1258
Sn4 0.5000 0.5000 0.5000
Pt1 0.5000 0.5000 0.0000
Rh1 0.0000 0.0000 0.0000
Rh2 0.0000 0.5000 0.6276
Rh3 0.5000 0.0000 0.3724

Energy of formation   -771 meV per atom
Energy   -0.441 Ry per atom
DOS(E_F)   0.784 states/eV/atom